Record 1
{"formula": "Cs2PmInS4", "functional": "PBE-GGA", "state": "optimized geometry", "cell": [[-2.211, 1.141, 8.405], [2.367, -8.281, 1.632], [5.657, 5.495, -3.821]], "species": ["Cs", "Cs", "Cs", "Cs", "Pm", "Pm", "In", "In", "S", "S", "S", "S", "S", "S", "S", "S"], "frac_coords": [[0.500, 0.000, 0.000], [0.500, 0.000, 0.500], [0.000, 0.000, 0.500], [0.500, 0.500, 0.000], [0.000, 0.500, 0.000], [0.000, 0.500, 0.500], [0.500, 0.500, 0.500], [0.000, 0.000, 0.000], [0.188, 0.734, 0.960], [0.766, 0.312, 0.540], [0.234, 0.688, 0.460], [0.812, 0.266, 0.040], [0.768, 0.733, 0.951], [0.767, 0.732, 0.549], [0.233, 0.268, 0.451], [0.232, 0.267, 0.049]], "vol_a3_per_cell": 473.8, "e_form_raw_mev_per_atom": -1186.1, "sg": "C2/c (15)"}


Record 2
{"formula": "Na3SrMo", "functional": "PBE-GGA", "state": "optimized geometry", "cell": [[6.500, 0.000, 0.000], [0.000, 6.500, 0.000], [0.000, 0.000, 6.500]], "species": ["Sr", "Mo", "Na", "Na", "Na"], "frac_coords": [[0.000, 0.000, 0.000], [0.500, 0.500, 0.500], [0.000, 0.500, 0.000], [0.000, 0.000, 0.500], [0.500, 0.000, 0.000]], "vol_a3_per_cell": 274.6, "de_polymorph_kj_per_mol_atoms": 55.5, "e_form_ev_per_atom": 1.598, "sg": "Pm-3m (221)"}


Record 3
{"formula": "Cs2SbTeBr6", "functional": "PBE-GGA", "state": "optimized geometry", "cell": [[-6.191, -0.636, -5.573], [-3.141, -6.484, 4.229], [-7.878, 0.054, 2.484]], "species": ["Cs", "Cs", "Sb", "Te", "Br", "Br", "Br", "Br", "Br", "Br"], "frac_coords": [[0.750, 0.250, 0.500], [0.250, 0.750, 0.500], [0.500, 0.500, 0.000], [0.000, 0.000, 0.000], [0.255, 0.255, 0.491], [0.745, 0.745, 0.509], [0.261, 0.261, 0.000], [0.739, 0.739, 0.000], [0.739, 0.261, 0.000], [0.261, 0.739, 0.000]], "vol_a3_per_cell": 403.0, "e_form_raw_mev_per_atom": -921.6, "sg": "I4/mmm (139)"}


Record 4
{"formula": "LuHRh", "functional": "PBE-GGA", "state": "optimized geometry", "cell": [[3.565, 0.000, 0.000], [0.000, 3.737, 0.000], [0.000, -1.868, 3.236]], "species": ["H", "Lu", "Rh"], "frac_coords": [[0.167, 0.667, 0.333], [0.667, 0.333, 0.667], [0.167, 0.000, 0.000]], "vol_a3_per_cell": 43.1, "energy_ev_per_atom": -5.523, "sg": "P-6m2 (187)"}


Record 5
{"formula": "Tm3ZnPd4", "functional": "PBE-GGA", "state": "optimized geometry", "cell": [[4.789, 0.000, 0.000], [0.000, 6.677, 0.000], [0.000, 0.000, 9.581]], "species": ["Zn", "Zn", "Tm", "Tm", "Tm", "Tm", "Tm", "Tm", "Pd", "Pd", "Pd", "Pd", "Pd", "Pd", "Pd", "Pd"], "frac_coords": [[0.000, 0.500, 0.000], [0.000, 0.500, 0.500], [0.000, 0.000, 0.000], [0.000, 0.000, 0.500], [0.501, 0.000, 0.750], [0.499, 0.000, 0.250], [0.504, 0.500, 0.750], [0.496, 0.500, 0.250], [0.500, 0.743, 0.000], [0.500, 0.743, 0.500], [0.500, 0.257, 0.000], [0.500, 0.257, 0.500], [0.003, 0.743, 0.750], [0.997, 0.743, 0.250], [0.997, 0.257, 0.250], [0.003, 0.257, 0.750]], "vol_a3_per_cell": 306.4, "de_polymorph_kj_per_mol_atoms": 0.0, "e_form_ev_per_atom": -0.830, "sg": "Pmma (51)"}


Record 6
{"formula": "Nd2Zn5Ni5", "functional": "PBE-GGA", "state": "optimized geometry", "cell": [[4.071, 0.000, 0.000], [0.000, 5.209, 0.000], [0.000, 0.000, 8.945]], "species": ["Nd", "Nd", "Zn", "Zn", "Zn", "Zn", "Zn", "Ni", "Ni", "Ni", "Ni", "Ni"], "frac_coords": [[0.000, 0.500, 0.000], [0.000, 0.000, 0.500], [0.500, 0.500, 0.500], [0.500, 0.753, 0.244], [0.500, 0.247, 0.756], [0.500, 0.247, 0.244], [0.500, 0.753, 0.756], [0.000, 0.500, 0.333], [0.000, 0.000, 0.841], [0.000, 0.000, 0.159], [0.000, 0.500, 0.667], [0.500, 0.000, 0.000]], "vol_a3_per_cell": 189.7, "de_polymorph_kj_per_mol_atoms": 0.0, "e_form_ev_per_atom": -0.362, "sg": "Pmmm (47)"}


Record 7
{"formula": "CaOs2Au", "functional": "PBE-GGA", "state": "optimized geometry", "cell": [[5.347, 0.026, 0.000], [-2.252, 4.849, 0.000], [0.000, 0.000, 2.645]], "species": ["Os", "Os", "Ca", "Au"], "frac_coords": [[0.000, 0.000, 0.000], [0.500, 0.500, 0.000], [0.000, 0.500, 0.500], [0.500, 0.000, 0.500]], "vol_a3_per_cell": 68.7, "de_polymorph_kj_per_mol_atoms": 46.8, "e_form_ev_per_atom": 0.675, "sg": "Cmmm (65)"}


Record 8
{"formula": "TbPrSm2H", "functional": "PBE-GGA", "state": "optimized geometry", "cell": [[-1.517, 1.018, -4.760], [-0.325, -5.007, -0.967], [-4.868, 0.015, 1.555]], "species": ["Tb", "Pr", "Sm", "Sm", "H"], "frac_coords": [[0.500, 0.000, 0.000], [0.500, 0.500, 0.500], [0.000, 0.000, 0.500], [0.000, 0.500, 0.000], [0.000, 0.000, 0.000]], "vol_a3_per_cell": 133.2, "energy_ev_per_atom": -4.614, "sg": "P4/mmm (123)"}


Record 9
{"formula": "RhAuS2", "functional": "PBE-GGA", "state": "optimized geometry", "cell": [[7.217, 0.000, 1.291], [2.031, 6.125, -1.514], [-2.031, 6.125, 1.514]], "species": ["Rh", "Rh", "S", "S", "S", "S", "Au", "Au"], "frac_coords": [[0.750, 0.276, 0.776], [0.250, 0.724, 0.224], [0.044, 0.306, 0.929], [0.456, 0.429, 0.806], [0.956, 0.694, 0.071], [0.544, 0.571, 0.194], [0.750, 0.978, 0.478], [0.250, 0.022, 0.522]], "vol_a3_per_cell": 166.0, "e_form_raw_mev_per_atom": -18.8, "sg": "C2/c (15)"}


Record 10
{"formula": "Sm2Er9Tm", "functional": "PBE-GGA", "state": "optimized geometry", "cell": [[-2.999, -0.274, -1.735], [4.225, -8.394, -5.975], [-5.334, -2.095, 9.548]], "species": ["Sm", "Sm", "Er", "Er", "Er", "Er", "Er", "Er", "Er", "Er", "Er", "Tm"], "frac_coords": [[0.000, 0.333, 0.667], [0.000, 0.667, 0.333], [0.000, 0.000, 0.500], [0.000, 0.500, 0.500], [0.000, 0.500, 0.000], [0.500, 0.349, 0.174], [0.500, 0.174, 0.826], [0.500, 0.174, 0.349], [0.500, 0.826, 0.651], [0.500, 0.826, 0.174], [0.500, 0.651, 0.826], [0.000, 0.000, 0.000]], "vol_a3_per_cell": 373.3, "de_polymorph_kj_per_mol_atoms": 4.5, "e_form_ev_per_atom": 0.070, "sg": "P6/mmm (191)"}


Record 11
{"formula": "ThZnIn", "functional": "PBE-GGA", "state": "optimized geometry", "cell": [[4.608, 0.000, 0.000], [-2.304, 3.991, 0.000], [0.000, 0.000, 8.631]], "species": ["Zn", "Zn", "In", "In", "Th", "Th"], "frac_coords": [[0.667, 0.333, 0.268], [0.333, 0.667, 0.768], [0.000, 0.000, 0.664], [0.000, 0.000, 0.164], [0.667, 0.333, 0.918], [0.333, 0.667, 0.418]], "vol_a3_per_cell": 158.8, "e_form_ev_per_atom": -0.123, "sg": "P6_3mc (186)"}


Record 12
{"formula": "ZrMoAs2Se", "functional": "PBE-GGA", "state": "optimized geometry", "cell": [[5.178, 0.000, 0.000], [0.000, 5.178, 0.000], [0.000, 0.000, 5.120]], "species": ["As", "As", "Mo", "Se", "Zr"], "frac_coords": [[0.000, 0.500, 0.000], [0.500, 0.000, 0.000], [0.500, 0.500, 0.500], [0.000, 0.000, 0.500], [0.000, 0.000, 0.000]], "vol_a3_per_cell": 137.3, "de_polymorph_kj_per_mol_atoms": 28.2, "e_form_raw_mev_per_atom": 693.6, "sg": "P4/mmm (123)"}